# SrDyWO6

SrDyWO6 after structural relaxation (GGA+U, Alexandria).

Unit cell a=5.6587 b=5.6600 c=5.2022 alpha=90.01 beta=90.00 gamma=59.99
Last column: nearest neighbours and their distance in Å.
Atoms (fractional coordinates):
O: 0.0403 0.3463 0.2901  1 W 1.96
O: 0.3461 0.6135 0.2903  1 W 1.96
O: 0.6134 0.3463 0.7098  1 W 1.96
O: 0.3461 0.0404 0.7097  1 W 1.96
O: 0.0403 0.6133 0.7099  1 W 1.96
O: 0.6134 0.0402 0.2902  1 W 1.96
Dy: 0.6666 0.6667 0.5000  6 O 2.26
W: 0.3335 0.3333 0.5000  6 O 1.96
Sr: 0.9999 0.0000 0.0000  6 O 2.57

- calculated total energy (eV/atom) = -7.321